Arrangement one

! KMnTl2 | the Alexandria database | PBE-GGA | optimized geometry; values from VASP
! SG ... Pmm2, No. 25
&SYSTEM
  ibrav = 0, nat = 4, ntyp = 3
/
ATOMIC_SPECIES
K 39.10 K.upf
Mn 54.94 Mn.upf
Tl 204.38 Tl.upf
ATOMIC_POSITIONS angstrom
K 0.0000 0.0000 4.1441
Mn 1.7118 2.2149 6.9578
Tl 0.0000 0.0000 7.6926
Tl 1.7118 2.2149 1.6679
CELL_PARAMETERS angstrom
3.4237 0.0000 0.0000
0.0000 4.4297 0.0000
0.0000 0.0000 8.1850


Arrangement two

! KMnTl2 | the Alexandria database | PBE-GGA | optimized geometry; values from VASP
! SG ... Cm, No. 8
&SYSTEM
  ibrav = 0, nat = 4, ntyp = 3
/
ATOMIC_SPECIES
K 39.10 K.upf
Mn 54.94 Mn.upf
Tl 204.38 Tl.upf
ATOMIC_POSITIONS angstrom
K -6.4518 -0.7296 0.2169
Mn -10.4508 -0.3976 1.1769
Tl -5.5853 1.7728 2.7190
Tl -2.7675 -0.7836 -0.4024
CELL_PARAMETERS angstrom
-3.6015 -0.1785 -3.1160
-3.1033 -3.6139 0.1470
-6.0793 2.2202 3.2656


Arrangement three

! KMnTl2 | the Alexandria database | PBE-GGA | optimized geometry; values from VASP
! SG ... R-3m, No. 166
&SYSTEM
  ibrav = 0, nat = 4, ntyp = 3
/
ATOMIC_SPECIES
K 39.10 K.upf
Mn 54.94 Mn.upf
Tl 204.38 Tl.upf
ATOMIC_POSITIONS angstrom
K -11.7796 -3.5463 18.5497
Mn -3.9265 -1.1821 6.1832
Tl -15.4669 -4.6564 24.3562
Tl -8.0922 -2.4362 12.7431
CELL_PARAMETERS angstrom
-6.9182 -0.6221 7.3580
-4.9602 -3.6739 8.0180
-3.8277 -0.4324 9.3569


Order from most stable to least stable according to the calculation: arrangement two, arrangement three, arrangement one


Arrangement one

! KMnTl | the Alexandria database | PBE-GGA | optimized geometry; values from VASP
! SG ... F-43m, No. 216
&SYSTEM
  ibrav = 0, nat = 3, ntyp = 3
/
ATOMIC_SPECIES
K 39.10 K.upf
Mn 54.94 Mn.upf
Tl 204.38 Tl.upf
ATOMIC_POSITIONS angstrom
K -1.5207 7.6083 6.2851
Mn 0.0000 0.0000 0.0000
Tl -1.0138 5.0722 4.1901
CELL_PARAMETERS angstrom
-3.2146 4.2278 1.1546
-0.9493 1.3582 5.1764
2.1362 4.5584 2.0491


Arrangement two

! KMnTl | the Alexandria database | PBE-GGA | optimized geometry; values from VASP
! SG ... P-6m2, No. 187
&SYSTEM
  ibrav = 0, nat = 3, ntyp = 3
/
ATOMIC_SPECIES
K 39.10 K.upf
Mn 54.94 Mn.upf
Tl 204.38 Tl.upf
ATOMIC_POSITIONS angstrom
K 0.0000 0.0000 0.0004
Mn 2.4073 1.3898 2.5401
Tl 0.0000 2.7797 2.5400
CELL_PARAMETERS angstrom
4.8145 0.0000 0.0000
-2.4073 4.1695 0.0000
0.0000 0.0000 5.0805


Arrangement three

! KMnTl | the Alexandria database | PBE-GGA | optimized geometry; values from VASP
! SG ... P3m1, No. 156
&SYSTEM
  ibrav = 0, nat = 3, ntyp = 3
/
ATOMIC_SPECIES
K 39.10 K.upf
Mn 54.94 Mn.upf
Tl 204.38 Tl.upf
ATOMIC_POSITIONS angstrom
K 0.0000 0.0000 8.2457
Mn 1.7590 1.0156 3.0508
Tl 0.0000 2.0312 5.2311
CELL_PARAMETERS angstrom
3.5181 0.0000 0.0000
-1.7590 3.0468 0.0000
0.0000 0.0000 8.2638


Order from most stable to least stable according to the calculation: arrangement two, arrangement three, arrangement one


Arrangement one

! KMn3Tl | the Alexandria database | PBE-GGA | optimized geometry; values from VASP
! SG ... Pm-3m, No. 221
&SYSTEM
  ibrav = 0, nat = 5, ntyp = 3
/
ATOMIC_SPECIES
Tl 204.38 Tl.upf
Mn 54.94 Mn.upf
K 39.10 K.upf
ATOMIC_POSITIONS angstrom
Tl 0.0000 0.0000 0.0000
Mn 0.0000 2.6549 0.0000
Mn 0.0000 0.0000 2.6549
Mn 2.6549 0.0000 0.0000
K 2.6549 2.6549 2.6549
CELL_PARAMETERS angstrom
5.3098 0.0000 0.0000
0.0000 5.3098 0.0000
0.0000 0.0000 5.3098


Arrangement two

! KMn3Tl | the Alexandria database | PBE-GGA | optimized geometry; values from VASP
! SG ... Pm-3m, No. 221
&SYSTEM
  ibrav = 0, nat = 5, ntyp = 3
/
ATOMIC_SPECIES
Tl 204.38 Tl.upf
Mn 54.94 Mn.upf
K 39.10 K.upf
ATOMIC_POSITIONS angstrom
Tl 0.2411 -4.4846 -1.4306
Mn -0.1292 -0.8328 -2.5875
Mn 2.0983 -1.6773 0.4351
Mn -1.7280 -1.9745 0.7218
K 0.0000 0.0000 0.0000
CELL_PARAMETERS angstrom
-3.4560 -3.9489 1.4436
-0.2584 -1.6656 -5.1750
4.1966 -3.3546 0.8702


Order from most stable to least stable according to the calculation: arrangement one, arrangement two


Arrangement one

! KMnTl3 | the Alexandria database | PBE-GGA | optimized geometry; values from VASP
! SG ... Pm-3m, No. 221
&SYSTEM
  ibrav = 0, nat = 5, ntyp = 3
/
ATOMIC_SPECIES
Tl 204.38 Tl.upf
Mn 54.94 Mn.upf
K 39.10 K.upf
ATOMIC_POSITIONS angstrom
Tl 0.0000 3.0208 0.0000
Tl 0.0000 0.0000 3.0208
Tl 3.0208 0.0000 0.0000
Mn 3.0208 3.0208 3.0208
K 0.0000 0.0000 0.0000
CELL_PARAMETERS angstrom
6.0415 0.0000 0.0000
0.0000 6.0415 0.0000
0.0000 0.0000 6.0415


Arrangement two

! KMnTl3 | the Alexandria database | PBE-GGA | optimized geometry; values from VASP
! SG ... Pm-3m, No. 221
&SYSTEM
  ibrav = 0, nat = 5, ntyp = 3
/
ATOMIC_SPECIES
Tl 204.38 Tl.upf
Mn 54.94 Mn.upf
K 39.10 K.upf
ATOMIC_POSITIONS angstrom
Tl 0.0541 -2.3674 -1.1743
Tl 2.3190 -0.5207 1.1567
Tl -1.2673 -1.0540 2.0664
Mn 0.0000 0.0000 0.0000
K 1.1058 -3.9421 2.0487
CELL_PARAMETERS angstrom
-2.5346 -2.1079 4.1327
0.1082 -4.7349 -2.3486
4.6380 -1.0414 2.3133


Order from most stable to least stable according to the calculation: arrangement two, arrangement one


Arrangement one

! K2MnV2 | the Alexandria database | PBE-GGA | optimized geometry; values from VASP
! SG ... P4/mbm, No. 127
&SYSTEM
  ibrav = 0, nat = 10, ntyp = 3
/
ATOMIC_SPECIES
K 39.10 K.upf
Mn 54.94 Mn.upf
V 50.94 V.upf
ATOMIC_POSITIONS angstrom
K 1.1482 4.2638 3.1373
K 4.2638 5.0831 3.1373
K 5.0831 1.9675 3.1373
K 1.9675 1.1482 3.1373
Mn 0.0000 0.0000 0.0000
Mn 3.1156 3.1156 0.0000
V 2.0954 5.2111 0.0000
V 5.2111 4.1359 0.0000
V 4.1359 1.0202 0.0000
V 1.0202 2.0954 0.0000
CELL_PARAMETERS angstrom
6.2313 0.0000 0.0000
0.0000 6.2313 0.0000
0.0000 0.0000 6.2746


Arrangement two

! K2MnV2 | the Alexandria database | PBE-GGA | optimized geometry; values from VASP
! SG ... I4/mmm, No. 139
&SYSTEM
  ibrav = 0, nat = 5, ntyp = 3
/
ATOMIC_SPECIES
K 39.10 K.upf
Mn 54.94 Mn.upf
V 50.94 V.upf
ATOMIC_POSITIONS angstrom
K 4.1781 2.0891 3.7471
K 2.0891 4.1781 3.7471
Mn 0.0000 0.0000 0.0000
V 2.0891 2.0891 0.9069
V 4.1781 4.1781 6.5874
CELL_PARAMETERS angstrom
4.1781 0.0000 0.0000
0.0000 4.1781 0.0000
2.0891 2.0891 7.4942


Order from most stable to least stable according to the calculation: arrangement one, arrangement two


Arrangement one

! KMnW | the Alexandria database | PBE-GGA | optimized geometry; values from VASP
! SG ... Imm2, No. 44
&SYSTEM
  ibrav = 0, nat = 3, ntyp = 3
/
ATOMIC_SPECIES
K 39.10 K.upf
Mn 54.94 Mn.upf
W 183.84 W.upf
ATOMIC_POSITIONS angstrom
K -10.0052 -8.6287 -3.1963
Mn -2.9184 -2.5169 -0.9323
W -7.2050 -6.2137 -2.3017
CELL_PARAMETERS angstrom
-6.4282 -2.6285 -1.8577
-3.6361 -6.0512 -1.3575
4.4568 4.2131 3.7507


Arrangement two

! KMnW | the Alexandria database | PBE-GGA | optimized geometry; values from VASP
! SG ... P3m1, No. 156
&SYSTEM
  ibrav = 0, nat = 3, ntyp = 3
/
ATOMIC_SPECIES
K 39.10 K.upf
Mn 54.94 Mn.upf
W 183.84 W.upf
ATOMIC_POSITIONS angstrom
K 0.0038 0.0465 0.0456
Mn 1.0024 1.0577 3.2677
W 2.0601 3.1567 3.2131
CELL_PARAMETERS angstrom
-0.1483 -2.1646 2.2217
2.7558 0.8791 -1.1299
0.4589 5.5465 5.4345


Arrangement three

! KMnW | the Alexandria database | PBE-GGA | optimized geometry; values from VASP
! SG ... F-43m, No. 216
&SYSTEM
  ibrav = 0, nat = 3, ntyp = 3
/
ATOMIC_SPECIES
K 39.10 K.upf
Mn 54.94 Mn.upf
W 183.84 W.upf
ATOMIC_POSITIONS angstrom
K -4.8577 -2.6950 1.3375
Mn -7.2865 -4.0425 2.0063
W 0.0000 0.0000 0.0000
CELL_PARAMETERS angstrom
-3.9845 -1.7361 -1.6958
-1.8208 -3.8832 1.8361
-3.9101 0.2294 2.5347


Arrangement four

! KMnW | the Alexandria database | PBE-GGA | optimized geometry; values from VASP
! SG ... P3m1, No. 156
&SYSTEM
  ibrav = 0, nat = 3, ntyp = 3
/
ATOMIC_SPECIES
K 39.10 K.upf
Mn 54.94 Mn.upf
W 183.84 W.upf
ATOMIC_POSITIONS angstrom
K 0.0177 0.0538 0.1351
Mn -2.9049 0.3506 0.9513
W -1.2499 -1.6976 2.8103
CELL_PARAMETERS angstrom
-4.4984 2.5852 -0.4391
0.0448 -4.8397 1.9201
0.3167 0.9613 2.4156


Order from most stable to least stable according to the calculation: arrangement one, arrangement two, arrangement four, arrangement three


Arrangement one

! KMnW | the Alexandria database | PBE-GGA | optimized geometry; values from VASP
! SG ... F-43m, No. 216
&SYSTEM
  ibrav = 0, nat = 3, ntyp = 3
/
ATOMIC_SPECIES
K 39.10 K.upf
Mn 54.94 Mn.upf
W 183.84 W.upf
ATOMIC_POSITIONS angstrom
K -8.5789 1.3472 4.4372
Mn 0.0000 0.0000 0.0000
W -5.7192 0.8981 2.9582
CELL_PARAMETERS angstrom
-5.1455 1.0692 -0.7473
-3.6572 -2.2334 3.1329
-2.6358 2.9605 3.5308


Arrangement two

! KMnW | the Alexandria database | PBE-GGA | optimized geometry; values from VASP
! SG ... Fmm2, No. 42
&SYSTEM
  ibrav = 0, nat = 3, ntyp = 3
/
ATOMIC_SPECIES
K 39.10 K.upf
Mn 54.94 Mn.upf
W 183.84 W.upf
ATOMIC_POSITIONS angstrom
K -2.3813 0.2732 -1.5411
Mn -2.9883 -10.7431 -2.7685
W -2.6493 -4.5901 -2.0830
CELL_PARAMETERS angstrom
-1.3206 -7.6953 -3.0425
-1.9388 -7.9697 -0.2744
-2.3797 0.3024 -1.5379


Order from most stable to least stable according to the calculation: arrangement two, arrangement one


Arrangement one

! KMn2W | the Alexandria database | PBE-GGA | optimized geometry; values from VASP
! SG ... C2/m, No. 12
&SYSTEM
  ibrav = 0, nat = 4, ntyp = 3
/
ATOMIC_SPECIES
K 39.10 K.upf
Mn 54.94 Mn.upf
W 183.84 W.upf
ATOMIC_POSITIONS angstrom
K 2.0812 0.7279 1.8568
Mn 0.5375 0.1880 6.6750
Mn 4.1019 1.4347 4.4926
W 6.2436 2.1838 5.5703
CELL_PARAMETERS angstrom
4.3942 0.0281 -0.0135
3.4537 2.7168 -0.0135
0.4769 0.1668 7.4540


Arrangement two

! KMn2W | the Alexandria database | PBE-GGA | optimized geometry; values from VASP
! SG ... I-4m2, No. 119
&SYSTEM
  ibrav = 0, nat = 4, ntyp = 3
/
ATOMIC_SPECIES
K 39.10 K.upf
Mn 54.94 Mn.upf
W 183.84 W.upf
ATOMIC_POSITIONS angstrom
K -1.8356 0.5549 2.4549
Mn 0.0000 0.0000 0.0000
Mn -0.3241 -1.7277 2.5718
W -3.4083 -2.1148 2.7767
CELL_PARAMETERS angstrom
-4.9198 0.1678 2.6599
-1.8968 -4.3974 2.8936
4.6569 3.0567 -0.5268


Arrangement three

! KMn2W | the Alexandria database | PBE-GGA | optimized geometry; values from VASP
! SG ... Cmmm, No. 65
&SYSTEM
  ibrav = 0, nat = 4, ntyp = 3
/
ATOMIC_SPECIES
K 39.10 K.upf
Mn 54.94 Mn.upf
W 183.84 W.upf
ATOMIC_POSITIONS angstrom
K 1.4089 -6.1782 4.3727
Mn 0.1679 -0.3787 0.4034
Mn 1.2853 -2.8986 3.0878
W -0.0443 -2.9009 0.8815
CELL_PARAMETERS angstrom
-2.6737 -0.8850 0.2822
1.1319 -1.6397 -2.0104
2.9064 -6.5545 6.9823


Arrangement four

! KMn2W | the Alexandria database | PBE-GGA | optimized geometry; values from VASP
! SG ... Immm, No. 71
&SYSTEM
  ibrav = 0, nat = 4, ntyp = 3
/
ATOMIC_SPECIES
K 39.10 K.upf
Mn 54.94 Mn.upf
W 183.84 W.upf
ATOMIC_POSITIONS angstrom
K -0.7808 -2.4503 -1.4315
Mn -0.2806 -5.2263 -8.1184
Mn -0.1641 -3.0571 -4.7488
W -2.6835 -0.1322 -2.8580
CELL_PARAMETERS angstrom
-2.0509 -0.4431 -5.7156
1.7544 -5.0792 -2.8626
-3.1679 2.9398 4.2887


Order from most stable to least stable according to the calculation: arrangement three, arrangement one, arrangement four, arrangement two


Arrangement one

! KMn2W | the Alexandria database | PBE-GGA | optimized geometry; values from VASP
! SG ... P2/m, No. 10
&SYSTEM
  ibrav = 0, nat = 4, ntyp = 3
/
ATOMIC_SPECIES
K 39.10 K.upf
Mn 54.94 Mn.upf
W 183.84 W.upf
ATOMIC_POSITIONS angstrom
K 0.2821 -0.3817 6.1973
Mn -0.7854 -1.5641 1.3590
Mn 0.1758 -1.6475 3.0828
W -0.7536 0.7457 2.5806
CELL_PARAMETERS angstrom
-2.5428 2.6189 1.5445
-1.6453 -2.0841 0.8251
3.7167 -0.1707 6.4083


Arrangement two

! KMn2W | the Alexandria database | PBE-GGA | optimized geometry; values from VASP
! SG ... Cmmm, No. 65
&SYSTEM
  ibrav = 0, nat = 4, ntyp = 3
/
ATOMIC_SPECIES
K 39.10 K.upf
Mn 54.94 Mn.upf
W 183.84 W.upf
ATOMIC_POSITIONS angstrom
K 1.9876 -2.1138 -0.2680
Mn 0.0000 0.0000 0.0000
Mn 0.3886 -2.4573 -2.6830
W -1.6184 -2.3553 -0.5692
CELL_PARAMETERS angstrom
-3.2173 -2.6987 -2.9842
3.9946 -2.2158 -2.3818
-0.0194 -2.0118 1.8458


Arrangement three

! KMn2W | the Alexandria database | PBE-GGA | optimized geometry; values from VASP
! SG ... F-43m, No. 216
&SYSTEM
  ibrav = 0, nat = 4, ntyp = 3
/
ATOMIC_SPECIES
K 39.10 K.upf
Mn 54.94 Mn.upf
W 183.84 W.upf
ATOMIC_POSITIONS angstrom
K 0.5278 -5.3947 1.8963
Mn 0.0000 0.0000 0.0000
Mn 0.2639 -2.6973 0.9482
W 0.7917 -8.0920 2.8445
CELL_PARAMETERS angstrom
-1.9029 -4.2847 -0.0663
2.7586 -3.7912 0.0402
0.2000 -2.7134 3.8187


Arrangement four

! KMn2W | the Alexandria database | PBE-GGA | optimized geometry; values from VASP
! SG ... Cm, No. 8
&SYSTEM
  ibrav = 0, nat = 4, ntyp = 3
/
ATOMIC_SPECIES
K 39.10 K.upf
Mn 54.94 Mn.upf
W 183.84 W.upf
ATOMIC_POSITIONS angstrom
K -0.5414 -2.9116 0.0214
Mn -0.9262 -3.9008 4.7166
Mn -1.6162 -8.6524 0.2364
W -1.2066 -6.2584 1.0488
CELL_PARAMETERS angstrom
-2.0435 -3.4636 -2.5510
0.8706 -4.0046 -2.4261
-1.0124 -4.2083 5.3956


Order from most stable to least stable according to the calculation: arrangement one, arrangement four, arrangement two, arrangement three


Arrangement one

! K2YMn | the Alexandria database | PBE-GGA | optimized geometry; values from VASP
! SG ... Cmmm, No. 65
&SYSTEM
  ibrav = 0, nat = 4, ntyp = 3
/
ATOMIC_SPECIES
K 39.10 K.upf
Mn 54.94 Mn.upf
Y 88.91 Y.upf
ATOMIC_POSITIONS angstrom
K 0.0407 -0.1563 0.2159
K 0.9487 -3.6455 5.0363
Mn -1.2076 -2.7771 2.3126
Y -0.2182 -6.5789 7.5648
CELL_PARAMETERS angstrom
-3.0363 1.1108 1.3760
-0.3684 -2.8632 -2.0031
1.9788 -7.6035 10.5044


Arrangement two

! K2YMn | the Alexandria database | PBE-GGA | optimized geometry; values from VASP
! SG ... Cmmm, No. 65
&SYSTEM
  ibrav = 0, nat = 4, ntyp = 3
/
ATOMIC_SPECIES
K 39.10 K.upf
Mn 54.94 Mn.upf
Y 88.91 Y.upf
ATOMIC_POSITIONS angstrom
K 0.0000 0.0000 0.0000
K 1.8481 -2.7308 -0.2133
Mn -1.9342 -3.1829 -1.6039
Y 1.5003 -1.2611 3.5501
CELL_PARAMETERS angstrom
-1.5864 -4.6526 -5.3674
5.2827 -0.8090 4.9407
-2.2821 -1.7132 2.1595


Order from most stable to least stable according to the calculation: arrangement one, arrangement two


Arrangement one

! K2YMn | the Alexandria database | PBE-GGA | optimized geometry; values from VASP
! SG ... Pmmm, No. 47
&SYSTEM
  ibrav = 0, nat = 4, ntyp = 3
/
ATOMIC_SPECIES
K 39.10 K.upf
Mn 54.94 Mn.upf
Y 88.91 Y.upf
ATOMIC_POSITIONS angstrom
K 0.0000 0.0000 0.0696
K 0.0000 0.0000 3.2426
Mn 1.7892 3.2194 1.6561
Y 1.7892 3.2194 4.9682
CELL_PARAMETERS angstrom
3.5784 0.0000 0.0000
0.0000 6.4388 0.0000
0.0000 0.0000 6.6243


Arrangement two

! K2YMn | the Alexandria database | PBE-GGA | optimized geometry; values from VASP
! SG ... P2/m, No. 10
&SYSTEM
  ibrav = 0, nat = 4, ntyp = 3
/
ATOMIC_SPECIES
K 39.10 K.upf
Mn 54.94 Mn.upf
Y 88.91 Y.upf
ATOMIC_POSITIONS angstrom
K 0.0000 0.0750 0.0759
K 0.0000 1.9160 2.8158
Mn 3.3905 0.9955 1.4458
Y 3.3905 2.9864 4.3375
CELL_PARAMETERS angstrom
6.7810 0.0000 0.0000
0.0000 3.6482 0.0012
0.0000 0.3337 5.7822


Order from most stable to least stable according to the calculation: arrangement two, arrangement one